Record 1
Sc2Ti2Fe | GGA-PBEsol | relaxed

Results
DOS at the Fermi energy: 7.3 states/eV per cell
Formation energy from the elements: 0.455 eV per atom

a = 3.295 Å, b = 3.295 Å, c = 17.155 Å
α = 90.00°, β = 90.00°, γ = 90.00°
Space group I4/mmm (No. 139)
One atom of each set of equivalent atoms:
Sc: 0.000 0.000 0.084 (multiplicity 4)
Ti: 0.000 0.500 0.250 (multiplicity 4)
Fe: 0.000 0.000 0.500 (multiplicity 2)

Record 2
Sc3TlFe | GGA-PBEsol | relaxed

Results
DOS at the Fermi energy: 12.2 states/eV per cell
Formation energy from the elements: 1.062 eV per atom

a = 5.255 Å, b = 5.255 Å, c = 5.255 Å
α = 90.00°, β = 90.00°, γ = 90.00°
Space group Pm-3m (No. 221)
One atom of each set of equivalent atoms:
Sc: 0.000 0.000 0.500 (multiplicity 3)
Tl: 0.000 0.000 0.000 (multiplicity 1)
Fe: 0.500 0.500 0.500 (multiplicity 1)

Record 3
ScTlFe2 | GGA-PBEsol | relaxed

Results
DOS at the Fermi energy: 10.6 states/eV per cell
Formation energy from the elements: 0.215 eV per atom

a = 4.191 Å, b = 4.191 Å, c = 7.043 Å
α = 90.00°, β = 90.00°, γ = 90.00°
Space group I4/mmm (No. 139)
One atom of each set of equivalent atoms:
Sc: 0.000 0.000 0.000 (multiplicity 2)
Tl: 0.000 0.000 0.500 (multiplicity 2)
Fe: 0.000 0.500 0.250 (multiplicity 4)

Record 4
ScTlFe2 | GGA-PBEsol | relaxed

Results
DOS at the Fermi energy: 2.6 states/eV per cell
Formation energy from the elements: 0.059 eV per atom

a = 3.096 Å, b = 3.096 Å, c = 6.734 Å
α = 90.00°, β = 90.00°, γ = 90.00°
Space group P4mm (No. 99)
One atom of each set of equivalent atoms:
Sc: 0.000 0.000 0.000 (multiplicity 1)
Tl: 0.500 0.500 0.333 (multiplicity 1)
Fe: 0.000 0.000 0.593 (multiplicity 1)
Fe: 0.500 0.500 0.763 (multiplicity 1)

Record 5
ScFe4W | GGA-PBEsol | relaxed

Results
DOS at the Fermi energy: 34.2 states/eV per cell
Formation energy from the elements: -0.072 eV per atom

a = 6.708 Å, b = 6.708 Å, c = 6.708 Å
α = 90.00°, β = 90.00°, γ = 90.00°
Space group F-43m (No. 216)
One atom of each set of equivalent atoms:
Sc: 0.000 0.000 0.000 (multiplicity 4)
Fe: 0.125 0.125 0.625 (multiplicity 16)
W: 0.250 0.250 0.250 (multiplicity 4)

Record 6
ScFeW2 | GGA-PBEsol | relaxed

Results
DOS at the Fermi energy: 4.4 states/eV per cell
Formation energy from the elements: 0.260 eV per atom

a = 2.762 Å, b = 2.762 Å, c = 8.023 Å
α = 90.00°, β = 90.00°, γ = 90.00°
Space group P4/mmm (No. 123)
One atom of each set of equivalent atoms:
Sc: 0.000 0.000 0.000 (multiplicity 1)
Fe: 0.000 0.000 0.500 (multiplicity 1)
W: 0.500 0.500 0.291 (multiplicity 2)

Record 7
ScFeW2 | GGA-PBEsol | relaxed

Results
DOS at the Fermi energy: 15.0 states/eV per cell
Formation energy from the elements: 0.147 eV per atom

a = 6.205 Å, b = 6.205 Å, c = 6.205 Å
α = 90.00°, β = 90.00°, γ = 90.00°
Space group F-43m (No. 216)
One atom of each set of equivalent atoms:
Sc: 0.000 0.000 0.000 (multiplicity 4)
Fe: 0.250 0.250 0.250 (multiplicity 4)
W: 0.000 0.000 0.500 (multiplicity 4)
W: 0.250 0.250 0.750 (multiplicity 4)

Record 8
ScFeW2 | GGA-PBEsol | relaxed

Results
DOS at the Fermi energy: 6.4 states/eV per cell
Formation energy from the elements: 0.262 eV per atom

a = 3.140 Å, b = 4.562 Å, c = 8.481 Å
α = 90.00°, β = 90.00°, γ = 90.00°
Space group Imm2 (No. 44)
One atom of each set of equivalent atoms:
Sc: 0.000 0.000 0.000 (multiplicity 2)
Fe: 0.000 0.500 0.248 (multiplicity 2)
W: 0.000 0.000 0.519 (multiplicity 2)
W: 0.000 0.500 0.773 (multiplicity 2)

Number 1: size of the total moment 0.00 μB/f.u., density 4.31 g/cm³. Number 2: size of the total moment 1.17 μB/f.u., density 4.52 g/cm³. Number 3: size of the total moment 3.34 μB/f.u., density 9.69 g/cm³. Number 4: size of the total moment 4.20 μB/f.u., density 9.29 g/cm³. Number 5: size of the total moment 5.55 μB/f.u., density 9.95 g/cm³. Number 6: size of the total moment 0.00 μB/f.u., density 12.71 g/cm³. Number 7: size of the total moment 0.56 μB/f.u., density 13.02 g/cm³. Number 8: size of the total moment 0.87 μB/f.u., density 12.81 g/cm³.